Entry from Alexandria: crystalline FeB2AsCl at its relaxed geometry (PBE).

Unit cell a=4.0447 b=5.0437 c=4.0447 alpha=90.00 beta=90.00 gamma=90.00
With the nearest neighbours (Å) after each atom.
Positions (direct):
Cl 0.5000 0.5000 0.5000  4 Fe 2.86
B 0.0000 0.0000 0.5000  2 As 2.02
B 0.5000 0.0000 0.0000  2 As 2.02
As 0.0000 0.0000 0.0000  4 B 2.02
Fe 0.0000 0.5000 0.0000  2 As 2.52

Summary:
Total DFT energy (no corrections) ... -4.244 eV/atom
Formation energy (no corrections) ... 1.419 eV/atom
Magnetic moment ... 2.60 μB per formula unit
Theoretical density ... 3.78 g/cm³

=====

Entry from Alexandria: crystalline Sm2GaF at its relaxed geometry (PBE).

Unit cell a=3.7605 b=3.7605 c=7.5831 alpha=75.64 beta=75.64 gamma=60.00
With the nearest neighbours (Å) after each atom.
Positions (direct):
Sm 0.7378 0.7378 0.7865  3 F 2.67
Sm 0.2622 0.2622 0.2135  3 F 2.67
Ga 0.5000 0.5000 0.5000  6 Sm 3.01
F 0.0000 0.0000 0.0000  6 Sm 2.67

Summary:
Total DFT energy (no corrections) ... -4.975 eV/atom
Formation energy (no corrections) ... -1.391 eV/atom
Magnetic moment ... 0.00 μB per formula unit
Theoretical density ... 7.27 g/cm³
Energy relative to the lowest polymorph listed for this composition ... 0.00 kcal/mol of atoms

=====

Entry from Alexandria: crystalline CsCo3Ru at its relaxed geometry (PBE).

Unit cell a=4.5994 b=4.5994 c=4.5994 alpha=90.00 beta=90.00 gamma=90.00
With the nearest neighbours (Å) after each atom.
Positions (direct):
Co 0.5000 0.0000 0.0000  2 Cs 2.30
Co 0.0000 0.5000 0.0000  2 Cs 2.30
Co 0.0000 0.0000 0.5000  2 Cs 2.30
Ru 0.5000 0.5000 0.5000  12 Co 3.25
Cs 0.0000 0.0000 0.0000  6 Co 2.30

Summary:
Total DFT energy (no corrections) ... -3.513 eV/atom
Magnetic moment ... 4.48 μB per formula unit
Theoretical density ... 7.01 g/cm³
Calculated formation energy ... 2.776 eV per atom

=====

Entry from Alexandria: crystalline NpTlCu2Se4 at its relaxed geometry (PBE).

Unit cell a=6.8211 b=6.2152 c=6.2152 alpha=69.52 beta=56.72 gamma=56.72
With the nearest neighbours (Å) after each atom.
Positions (direct):
Cu 0.8246 0.6754 0.6754  2 Se 2.39, 1 Cu 2.67
Cu 0.1754 0.3246 0.3246  2 Se 2.39, 1 Cu 2.67
Se 0.0434 0.9403 0.4574  1 Cu 2.39
Se 0.5589 0.4574 0.9403  1 Cu 2.39
Se 0.9566 0.5426 0.0597  1 Cu 2.39
Se 0.4411 0.0597 0.5426  1 Cu 2.39
Np 0.5000 0.5000 0.5000  4 Se 2.88
Tl 0.0000 0.0000 0.0000  4 Se 2.89

Summary:
Total DFT energy (no corrections) ... -5.023 eV/atom
Formation energy (no corrections) ... -0.343 eV/atom
Magnetic moment ... 3.41 μB per formula unit
Theoretical density ... 7.99 g/cm³

=====

Entry from Alexandria: crystalline MnBeSe2 at its relaxed geometry (PBE).

Unit cell a=3.6066 b=3.6066 c=7.4187 alpha=90.00 beta=90.00 gamma=120.00
With the nearest neighbours (Å) after each atom.
Positions (direct):
Mn 0.3333 0.6667 0.5109  4 Se 2.42-2.51
Be 0.0000 0.0000 0.7503  3 Se 2.21
Se 0.3333 0.6667 0.8492  3 Be 2.21
Se 0.6667 0.3333 0.3446  3 Mn 2.42

Summary:
Total DFT energy (no corrections) ... -5.383 eV/atom
Formation energy (no corrections) ... -0.417 eV/atom
Magnetic moment ... 3.51 μB per formula unit
Theoretical density ... 4.41 g/cm³

=====

Entry from Alexandria: crystalline Ac2Cu3Ge4 at its relaxed geometry (PBE).

Unit cell a=6.0436 b=7.8588 c=8.3817 alpha=90.00 beta=111.13 gamma=90.00
With the nearest neighbours (Å) after each atom.
Positions (direct):
Ac 0.6185 0.9079 0.2369  8 Ge 3.24-3.37, 6 Cu 3.31-3.62
Ac 0.3815 0.0921 0.7631  8 Ge 3.24-3.37, 6 Cu 3.31-3.62
Ac 0.8815 0.4079 0.7631  8 Ge 3.24-3.37, 6 Cu 3.31-3.62
Ac 0.1185 0.5921 0.2369  8 Ge 3.24-3.37, 6 Cu 3.31-3.62
Cu 0.4609 0.2500 0.4217  3 Ge 2.50-2.51
Cu 0.0391 0.7500 0.5783  3 Ge 2.50-2.51
Cu 0.5391 0.7500 0.5783  3 Ge 2.50-2.51
Cu 0.9609 0.2500 0.4217  3 Ge 2.50-2.51
Cu 0.5000 0.5000 0.0000  6 Ge 2.60-2.73
Cu 0.0000 0.0000 0.0000  6 Ge 2.60-2.73
Ge 0.1743 0.0063 0.3486  3 Cu 2.51-2.73
Ge 0.6743 0.4937 0.3486  3 Cu 2.51-2.73
Ge 0.3257 0.5063 0.6514  3 Cu 2.51-2.73
Ge 0.1993 0.7500 0.8986  3 Cu 2.50-2.60
Ge 0.8007 0.2500 0.1014  3 Cu 2.50-2.60
Ge 0.8257 0.9937 0.6514  3 Cu 2.51-2.73
Ge 0.6993 0.7500 0.8986  3 Cu 2.50-2.60
Ge 0.3007 0.2500 0.1014  3 Cu 2.50-2.60

Summary:
Total DFT energy (no corrections) ... -4.678 eV/atom
Magnetic moment ... 0.00 μB per formula unit
Theoretical density ... 8.36 g/cm³
Calculated formation energy ... -0.347 eV per atom

=====

Entry from Alexandria: crystalline K2GaSi at its relaxed geometry (PBE).

Unit cell a=5.6395 b=5.6395 c=5.6395 alpha=60.00 beta=60.00 gamma=60.00
With the nearest neighbours (Å) after each atom.
Positions (direct):
K 0.2500 0.2500 0.2500  4 Ga 3.45, 4 Si 3.45
K 0.7500 0.7500 0.7500  4 Ga 3.45, 4 Si 3.45
Ga 0.5000 0.5000 0.5000  8 K 3.45
Si 0.0000 0.0000 0.0000  8 K 3.45

Summary:
Total DFT energy (no corrections) ... -2.204 eV/atom
Formation energy (no corrections) ... 0.457 eV/atom
Magnetic moment ... 1.00 μB per formula unit
Theoretical density ... 2.30 g/cm³
Energy relative to the lowest polymorph listed for this composition ... 12.09 kcal/mol of atoms

=====

Entry from Alexandria: crystalline Pr9ErSn2 at its relaxed geometry (PBE).

Unit cell a=5.0229 b=5.0229 c=15.4158 alpha=90.00 beta=90.00 gamma=90.00
With the nearest neighbours (Å) after each atom.
Positions (direct):
Pr 0.5000 0.0000 0.8252  2 Sn 3.55, 8 Pr 3.55-3.68, 2 Er 3.68
Pr 0.5000 0.0000 0.1748  2 Sn 3.55, 8 Pr 3.55-3.68, 2 Er 3.68
Pr 0.5000 0.5000 0.0000  4 Er 3.55, 8 Pr 3.68
Pr 0.5000 0.5000 0.3385  8 Pr 3.54-3.56, 4 Sn 3.55
Pr 0.0000 0.5000 0.5000  8 Pr 3.54-3.55, 4 Sn 3.55
Pr 0.5000 0.0000 0.5000  8 Pr 3.54-3.55, 4 Sn 3.55
Pr 0.5000 0.5000 0.6615  8 Pr 3.54-3.56, 4 Sn 3.55
Pr 0.0000 0.5000 0.1748  2 Sn 3.55, 8 Pr 3.55-3.68, 2 Er 3.68
Pr 0.0000 0.5000 0.8252  2 Sn 3.55, 8 Pr 3.55-3.68, 2 Er 3.68
Er 0.0000 0.0000 0.0000  12 Pr 3.55-3.68
Sn 0.0000 0.0000 0.6626  12 Pr 3.55
Sn 0.0000 0.0000 0.3374  12 Pr 3.55

Summary:
Total DFT energy (no corrections) ... -4.912 eV/atom
Magnetic moment ... 0.00 μB per formula unit
Theoretical density ... 7.14 g/cm³
Calculated formation energy ... -0.280 eV per atom

=====

Entry from Alexandria: crystalline Tc2SbTe at its relaxed geometry (PBE).

Unit cell a=3.1326 b=3.1326 c=8.5498 alpha=90.00 beta=90.00 gamma=90.00
With the nearest neighbours (Å) after each atom.
Positions (direct):
Te 0.0000 0.0000 0.4164  4 Tc 2.74
Tc 0.5000 0.5000 0.2282  4 Te 2.74, 4 Tc 2.79
Tc 0.0000 0.0000 0.0293  4 Tc 2.79, 4 Sb 2.82
Sb 0.5000 0.5000 0.8261  4 Tc 2.82, 4 Sb 3.13

Summary:
Total DFT energy (no corrections) ... -6.889 eV/atom
Formation energy (no corrections) ... 0.110 eV/atom
Magnetic moment ... 0.00 μB per formula unit
Theoretical density ... 8.81 g/cm³
Energy relative to the lowest polymorph listed for this composition ... 0.00 kcal/mol of atoms

=====

Entry from Alexandria: crystalline CsAg2HgPt at its relaxed geometry (PBE).

Unit cell a=5.3698 b=5.3698 c=5.3230 alpha=90.00 beta=90.00 gamma=90.00
With the nearest neighbours (Å) after each atom.
Positions (direct):
Ag 0.0000 0.5000 0.0000  2 Pt 2.68
Ag 0.5000 0.0000 0.0000  2 Pt 2.68
Pt 0.0000 0.0000 0.0000  2 Hg 2.66, 4 Ag 2.68
Cs 0.5000 0.5000 0.5000  8 Ag 3.78, 4 Hg 3.80
Hg 0.0000 0.0000 0.5000  2 Pt 2.66

Summary:
Total DFT energy (no corrections) ... -2.513 eV/atom
Magnetic moment ... 0.00 μB per formula unit
Theoretical density ... 8.05 g/cm³
Calculated formation energy ... 0.067 eV per atom

=====

Entry from Alexandria: crystalline Cs2Cu2P at its relaxed geometry (PBE).

Unit cell a=7.0139 b=6.8700 c=7.8474 alpha=98.84 beta=90.00 gamma=120.70
With the nearest neighbours (Å) after each atom.
Positions (direct):
Cs 0.7561 0.3201 0.1577  6 Cu 3.64-3.77, 2 P 3.88-3.96
Cs 0.5641 0.3201 0.6577  6 Cu 3.64-3.77, 2 P 3.88-3.96
Cs 0.4359 0.6799 0.3423  6 Cu 3.64-3.77, 2 P 3.88-3.96
Cs 0.2439 0.6799 0.8423  6 Cu 3.64-3.77, 2 P 3.88-3.96
Cu 0.9863 0.1678 0.5054  2 P 2.33-2.34, 1 Cu 2.40
Cu 0.8185 0.8322 0.9946  2 P 2.33-2.34, 1 Cu 2.40
Cu 0.0137 0.8322 0.4946  2 P 2.33-2.34, 1 Cu 2.40
Cu 0.1815 0.1678 0.0054  2 P 2.33-2.34, 1 Cu 2.40
P 0.0579 0.0000 0.2500  4 Cu 2.33-2.34
P 0.9421 0.0000 0.7500  4 Cu 2.33-2.34

Summary:
Total DFT energy (no corrections) ... -2.993 eV/atom
Magnetic moment ... 0.00 μB per formula unit
Theoretical density ... 4.40 g/cm³
Calculated formation energy ... 0.069 eV per atom

=====

Entry from Alexandria: crystalline Na2LiP2O6 at its relaxed geometry (PBE).

Unit cell a=5.4871 b=5.4871 c=6.4006 alpha=64.62 beta=64.62 gamma=60.00
With the nearest neighbours (Å) after each atom.
Positions (direct):
P 0.4296 0.4296 0.7113  3 O 1.52
P 0.5704 0.5704 0.2887  3 O 1.52
O 0.2692 0.7429 0.2450  1 P 1.52
O 0.2571 0.2571 0.7550  1 P 1.52
O 0.7429 0.7429 0.2450  1 P 1.52
O 0.2571 0.7308 0.7550  1 P 1.52
O 0.7308 0.2571 0.7550  1 P 1.52
O 0.7429 0.2692 0.2450  1 P 1.52
Na 0.1967 0.1967 0.4100  3 O 2.54
Na 0.8033 0.8033 0.5900  3 O 2.54
Li 0.0000 0.0000 0.0000  6 O 2.15

Summary:
Total DFT energy (no corrections) ... -6.087 eV/atom
Formation energy (no corrections) ... -1.985 eV/atom
Magnetic moment ... 0.96 μB per formula unit
Theoretical density ... 2.41 g/cm³